[1]
# Rb2CeCu3Te5

A relaxed Rb2CeCu3Te5 crystal (PBE, Alexandria via LeMat-Bulk).

Total magnetic moment: 0.510 μB per formula unit
Formation energy from raw total energies: -703 meV/atom
E: -3.964 eV/atom

Structure (POSCAR):
```
Rb2CeCu3Te5
1.0
9.3730 -3.1155 0.0000
9.3730 3.1155 0.0000
-4.7545 0.0000 11.7191
Rb Ce Cu Te
4 2 6 10
direct
0.0006 0.0006 0.1752
0.3296 0.3296 0.1642
0.6704 0.6704 0.8358
0.9994 0.9994 0.8248
0.2982 0.2982 0.6814
0.7018 0.7018 0.3186
0.1262 0.5821 0.4896
0.2294 0.7706 0.5000
0.4179 0.8738 0.5104
0.5821 0.1262 0.4896
0.7706 0.2294 0.5000
0.8738 0.4179 0.5104
0.1084 0.6048 0.9127
0.1182 0.1182 0.6467
0.2193 0.2193 0.3993
0.3952 0.8916 0.0873
0.4600 0.4600 0.6407
0.5400 0.5400 0.3593
0.6048 0.1084 0.9127
0.7807 0.7807 0.6007
0.8818 0.8818 0.3533
0.8916 0.3952 0.0873
```

***

[2]
# Tb2DyCu2

A relaxed Tb2DyCu2 crystal (PBE, Alexandria via LeMat-Bulk).

Total magnetic moment: 0.000 μB per formula unit
E: -4.493 eV/atom
Relative energy among the computed polymorphs: 0.388 eV/f.u.
Formation energy: -0.082 eV/atom

Structure (POSCAR):
```
Tb2DyCu2
1.0
12.1538 0.0000 0.0000
0.0000 3.7021 0.0000
-1.2069 0.0000 5.4029
Tb Dy Cu
4 2 4
direct
0.1404 0.0000 0.0732
0.3596 0.5000 0.9268
0.6404 0.5000 0.0732
0.8596 0.0000 0.9268
0.0000 0.5000 0.5000
0.5000 0.0000 0.5000
0.2105 0.0000 0.6067
0.2895 0.5000 0.3933
0.7105 0.5000 0.6067
0.7895 0.0000 0.3933
```